Computed, not measured: a geometry-optimized NaAg2RuBr8 structure at the GGA-PBE level of DFT.

Geometry as POSCAR:
```
NaAg2RuBr8
1.0
6.9638 0.0000 0.0000
0.0000 8.1561 0.0000
-2.9757 0.0000 6.3427
Na Ag Ru Br
1 2 1 8
direct
0.0000 0.0000 0.0000
0.0000 0.2350 0.5000
0.0000 0.7650 0.5000
0.0000 0.5000 0.0000
0.2027 0.5000 0.7766
0.2434 0.2870 0.2370
0.2434 0.7130 0.2370
0.2525 0.0000 0.7538
0.7475 0.0000 0.2462
0.7566 0.2870 0.7630
0.7566 0.7130 0.7630
0.7973 0.5000 0.2234
```

DOS at the Fermi energy   10.3 states/eV per cell
DFT total energy   -2.930 eV per atom

---

Computed, not measured: a geometry-optimized CaY2Cl structure at the GGA-PBE level of DFT.

Geometry as POSCAR:
```
CaY2Cl
1.0
3.6679 0.0000 0.0000
-1.8340 3.1765 0.0000
0.0000 0.0000 30.7070
Ca Y Cl
3 6 3
direct
0.0000 0.0000 0.0000
0.3333 0.6667 0.6667
0.6667 0.3333 0.3333
0.0000 0.0000 0.2358
0.0000 0.0000 0.7642
0.3333 0.6667 0.4308
0.3333 0.6667 0.9025
0.6667 0.3333 0.0975
0.6667 0.3333 0.5692
0.0000 0.0000 0.5000
0.3333 0.6667 0.1667
0.6667 0.3333 0.8333
```

Energy above the most stable polymorph in this dataset   166.6 meV/atom
DOS at the Fermi energy   14.6 states/eV per cell
DFT total energy   -4.758 eV per atom

---

Computed, not measured: a geometry-optimized HfMnV2 structure at the GGA-PBE level of DFT.

Geometry as POSCAR:
```
HfMnV2
1.0
2.8860 0.0000 0.0000
0.0000 4.0847 0.0000
-1.2192 0.0000 5.0222
Hf Mn V
1 1 2
direct
0.0000 0.0000 0.0000
0.5000 0.0000 0.5000
0.2856 0.5000 0.7163
0.7144 0.5000 0.2837
```

Energy above the most stable polymorph in this dataset   75.7 meV/atom
DOS at the Fermi energy   4.7 states/eV per cell
DFT total energy   -9.263 eV per atom
Formation energy from the elements   0.077 eV/atom

---

Computed, not measured: a geometry-optimized LiAgAu2 structure at the GGA-PBE level of DFT.

Geometry as POSCAR:
```
LiAgAu2
1.0
5.7165 0.0000 0.0000
0.0000 8.1884 0.0000
0.0000 0.0000 2.9134
Li Ag Au
2 2 4
direct
0.0000 0.0000 0.0000
0.5000 0.5000 0.0000
0.0000 0.5000 0.0000
0.5000 0.0000 0.0000
0.2500 0.2500 0.5000
0.2500 0.7500 0.5000
0.7500 0.2500 0.5000
0.7500 0.7500 0.5000
```

Energy above the most stable polymorph in this dataset   19.9 meV/atom
DOS at the Fermi energy   2.1 states/eV per cell
DFT total energy   -3.121 eV per atom
Formation energy from the elements   -0.291 eV/atom

---

Computed, not measured: a geometry-optimized CsBaNO2 structure at the GGA-PBE level of DFT.

Geometry as POSCAR:
```
CsBaNO2
1.0
5.0150 0.0000 0.0000
0.0000 5.0150 0.0000
0.0000 0.0000 5.4664
Cs Ba N O
1 1 1 2
direct
0.0000 0.0000 0.0000
0.5000 0.5000 0.5000
0.5000 0.5000 0.0000
0.0000 0.5000 0.5000
0.5000 0.0000 0.5000
```

DOS at the Fermi energy   1.9 states/eV per cell
DFT total energy   -4.380 eV per atom

---

Computed, not measured: a geometry-optimized VCr2SnSb structure at the GGA-PBE level of DFT.

Geometry as POSCAR:
```
VCr2SnSb
1.0
5.0310 0.0000 0.0000
0.0000 5.0310 0.0000
0.0000 0.0000 5.6598
V Cr Sn Sb
1 2 1 1
direct
0.0000 0.0000 0.0000
0.0000 0.5000 0.5000
0.5000 0.0000 0.5000
0.5000 0.5000 0.5000
0.5000 0.5000 0.0000
```

DOS at the Fermi energy   5.9 states/eV per cell
DFT total energy   -5.798 eV per atom

---

Computed, not measured: a geometry-optimized TlPbIO2 structure at the GGA-PBE level of DFT.

Geometry as POSCAR:
```
TlPbIO2
1.0
4.4945 0.0000 0.0000
0.0000 4.4945 0.0000
0.0000 0.0000 6.1033
Tl Pb I O
1 1 1 2
direct
0.0000 0.0000 0.0000
0.5000 0.5000 0.5000
0.5000 0.5000 0.0000
0.0000 0.5000 0.5000
0.5000 0.0000 0.5000
```

Energy above the most stable polymorph in this dataset   0.0 meV/atom
DOS at the Fermi energy   2.3 states/eV per cell
DFT total energy   -3.784 eV per atom

---

Computed, not measured: a geometry-optimized KCrAs2 structure at the GGA-PBE level of DFT.

Geometry as POSCAR:
```
KCrAs2
1.0
4.4856 0.0000 0.0000
0.0000 4.4856 0.0000
0.0000 0.0000 4.2814
K Cr As
1 1 2
direct
0.0000 0.0000 0.0000
0.5000 0.5000 0.0000
0.0000 0.5000 0.5000
0.5000 0.0000 0.5000
```

Energy above the most stable polymorph in this dataset   554.9 meV/atom
DOS at the Fermi energy   2.0 states/eV per cell
DFT total energy   -4.634 eV per atom
Formation energy from the elements   0.371 eV/atom

---

Computed, not measured: a geometry-optimized Ba3Na2In structure at the GGA-PBE level of DFT.

Geometry as POSCAR:
```
Ba3Na2In
1.0
4.3458 0.0000 0.0000
0.0000 4.3458 0.0000
0.0000 0.0000 14.7556
Ba Na In
3 2 1
direct
0.0000 0.0000 0.0000
0.0000 0.0000 0.3635
0.0000 0.0000 0.6365
0.5000 0.5000 0.1795
0.5000 0.5000 0.8205
0.5000 0.5000 0.5000
```

Energy above the most stable polymorph in this dataset   0.0 meV/atom
DOS at the Fermi energy   4.0 states/eV per cell
DFT total energy   -2.021 eV per atom
Formation energy from the elements   -0.163 eV/atom

---

Computed, not measured: a geometry-optimized Si2N structure at the GGA-PBE level of DFT.

Geometry as POSCAR:
```
Si2N
1.0
7.2965 0.0000 0.0000
0.0000 4.5873 0.0000
-1.7677 0.0000 5.8232
Si N
8 4
direct
0.0075 0.0000 0.1959
0.2300 0.4102 0.3357
0.2700 0.9102 0.6643
0.4925 0.5000 0.8041
0.5075 0.5000 0.1959
0.7300 0.9102 0.3357
0.7700 0.4102 0.6643
0.9925 0.0000 0.8041
0.1640 0.7610 0.3893
0.3360 0.2610 0.6107
0.6640 0.2610 0.3893
0.8360 0.7610 0.6107
```

Energy above the most stable polymorph in this dataset   122.1 meV/atom
DFT total energy   -6.658 eV per atom

---

Computed, not measured: a geometry-optimized Ca2NbPt2 structure at the GGA-PBE level of DFT.

Geometry as POSCAR:
```
Ca2NbPt2
1.0
8.2798 0.0000 0.0000
0.0000 8.2798 0.0000
0.0000 0.0000 3.0121
Ca Nb Pt
4 2 4
direct
0.1327 0.3673 0.0000
0.3673 0.8673 0.0000
0.6327 0.1327 0.0000
0.8673 0.6327 0.0000
0.0000 0.0000 0.0000
0.5000 0.5000 0.0000
0.1701 0.6701 0.5000
0.3299 0.1701 0.5000
0.6701 0.8299 0.5000
0.8299 0.3299 0.5000
```

Energy above the most stable polymorph in this dataset   410.6 meV/atom
DOS at the Fermi energy   6.6 states/eV per cell
DFT total energy   -5.350 eV per atom
Formation energy from the elements   -0.119 eV/atom

---

Computed, not measured: a geometry-optimized TlIn3Cl4 structure at the GGA-PBE level of DFT.

Geometry as POSCAR:
```
TlIn3Cl4
1.0
12.6110 0.0000 0.0000
0.0000 6.6922 0.0000
0.0000 0.0000 6.4040
Tl In Cl
2 6 8
direct
0.0000 0.2453 0.0000
0.5000 0.7547 0.5000
0.0000 0.7531 0.4978
0.2501 0.2469 0.4855
0.2499 0.7531 0.9855
0.5000 0.2469 0.9978
0.7499 0.2469 0.4855
0.7501 0.7531 0.9855
0.0000 0.3224 0.5090
0.0000 0.7111 0.0329
0.2498 0.3246 0.9496
0.2502 0.6754 0.4496
0.5000 0.2889 0.5329
0.5000 0.6776 0.0090
0.7502 0.3246 0.9496
0.7498 0.6754 0.4496
```

Energy above the most stable polymorph in this dataset   0.0 meV/atom
DOS at the Fermi energy   0.0 states/eV per cell
DFT total energy   -3.101 eV per atom